Compound: SmTm4Sb2
Source: the Alexandria database
Functional: PBE
Structure: relaxed

Lattice parameters (Å, degrees): 5.2477 5.2477 16.2714 90.00 90.00 90.00
Space group I4/mmm (No. 139)
Symmetry-distinct sites (fractional):
Sm: 0.0000 0.0000 0.0000
Tm: 0.0000 0.0000 0.1840
Tm: 0.0000 0.5000 0.0000
Sb: 0.0000 0.0000 0.3673

Values from the calculation:
Density of states at the Fermi level   13.10 states/eV per cell
Formation energy without anion corrections   0.339 eV/atom